# KHoHg6 PBE relaxed
# N(E_F)   3.40 states/eV per cell
# Calculated volume   26.13 Å³ per atom
# E_tot   -1.16 eV/atom
data_KHoHg6
_chemical_formula_sum 'K1 Ho1 Hg6'
_space_group_name_H-M_alt 'P m m 2'
_space_group_IT_number 25
_space_group_name_Hall 'P 2 -2'
_cell_length_a 5.307
_cell_length_b 6.957
_cell_length_c 5.660
_cell_angle_alpha 90.00
_cell_angle_beta 90.00
_cell_angle_gamma 90.00
loop_
_atom_site_label
_atom_site_fract_x
_atom_site_fract_y
_atom_site_fract_z
K1 0.000 0.000 0.000
Ho1 0.500 0.500 0.319
Hg1 0.000 0.268 0.495
Hg2 0.000 0.500 0.001
Hg3 0.500 0.000 0.385
Hg4 0.500 0.270 0.837